# 1
SrFe2Re: optimized geometry, PBE-GGA.

Summary:
Calculated formation energy = 0.743 eV/atom
Total magnetization = 1.59 μB per formula unit
Energy above the most stable polymorph in this dataset = 333.1 meV per atom

a b c (Å): 3.997 6.245 6.245
angles (deg): 30.84 90.00 90.00
Element x y z (fractional)
Sr (0.000, 0.000, 0.000)
Fe (0.000, 0.752, 0.752)
Fe (0.500, 0.646, 0.646)
Re (0.500, 0.275, 0.275)

# 2
Li2HPb: optimized geometry, PBE-GGA.

Summary:
Total magnetization = 0.00 μB per formula unit
Energy above the most stable polymorph in this dataset = 74.5 meV per atom

a b c (Å): 7.475 7.475 7.475
angles (deg): 25.12 25.12 25.12
Element x y z (fractional)
Li (0.000, 0.000, 0.000)
Li (0.230, 0.230, 0.230)
H (0.615, 0.615, 0.615)
Pb (0.447, 0.447, 0.447)

# 3
ZrRh2: optimized geometry, PBE-GGA.

Summary:
Calculated formation energy = -0.719 eV/atom
Total magnetization = 0.00 μB per formula unit

a b c (Å): 4.881 4.881 5.602
angles (deg): 102.45 102.45 49.59
Element x y z (fractional)
Zr (0.143, 0.143, 0.302)
Zr (0.857, 0.857, 0.698)
Rh (0.177, 0.177, 0.820)
Rh (0.500, 0.500, 0.000)
Rh (0.500, 0.500, 0.500)
Rh (0.823, 0.823, 0.180)

# 4
Ca3In3PdPb2: optimized geometry, PBE-GGA.

Summary:
Calculated formation energy = -0.506 eV/atom
Total magnetization = 0.00 μB per formula unit

a b c (Å): 7.762 7.762 4.624
angles (deg): 90.00 90.00 120.00
Element x y z (fractional)
Ca (0.000, 0.401, 0.000)
Ca (0.401, 0.000, 0.000)
Ca (0.599, 0.599, 0.000)
In (0.000, 0.770, 0.500)
In (0.230, 0.230, 0.500)
In (0.770, 0.000, 0.500)
Pd (0.000, 0.000, 0.000)
Pb (0.333, 0.667, 0.500)
Pb (0.667, 0.333, 0.500)

# 5
SmHoH: optimized geometry, PBE-GGA.

Summary:
Total magnetization = 0.00 μB per formula unit
Energy above the most stable polymorph in this dataset = 0.0 meV per atom

a b c (Å): 3.648 3.648 5.663
angles (deg): 90.00 90.00 120.00
Element x y z (fractional)
Sm (0.000, 0.000, 0.000)
Ho (0.333, 0.667, 0.485)
H (0.667, 0.333, 0.253)

# 6
DyCrGa2: optimized geometry, PBE-GGA.

Summary:
Calculated formation energy = 0.040 eV/atom
Total magnetization = 2.86 μB per formula unit

a b c (Å): 8.331 8.331 8.331
angles (deg): 23.61 23.61 23.61
Element x y z (fractional)
Dy (0.000, 0.000, 0.000)
Cr (0.500, 0.500, 0.500)
Ga (0.239, 0.239, 0.239)
Ga (0.761, 0.761, 0.761)

# 7
CdGa2IrO8: optimized geometry, PBE-GGA.

Summary:
ΔE_f (raw) = -976.3 meV/atom
Total magnetization = 0.01 μB per formula unit

a b c (Å): 4.626 6.415 4.655
angles (deg): 90.00 91.06 90.00
Element x y z (fractional)
Cd (0.000, 0.000, 0.000)
Ga (0.500, 0.247, 0.500)
Ga (0.500, 0.753, 0.500)
Ir (0.000, 0.500, 0.000)
O (0.205, 0.288, 0.803)
O (0.205, 0.712, 0.803)
O (0.295, 0.500, 0.301)
O (0.318, 0.000, 0.325)
O (0.682, 0.000, 0.675)
O (0.705, 0.500, 0.699)
O (0.795, 0.288, 0.197)
O (0.795, 0.712, 0.197)

# 8
Zn2AsP: optimized geometry, PBE-GGA.

Summary:
Calculated formation energy = 0.329 eV/atom
Total magnetization = 0.00 μB per formula unit
Energy above the most stable polymorph in this dataset = 273.1 meV per atom

a b c (Å): 4.745 4.745 4.745
angles (deg): 126.42 126.42 79.20
Element x y z (fractional)
Zn (0.250, 0.750, 0.500)
Zn (0.750, 0.250, 0.500)
As (0.000, 0.000, 0.000)
P (0.500, 0.500, 0.000)